Entry 1:
! Sc6AsRu5 (PBE-GGA, relaxed); values from VASP
! Theoretical density   6.98 g/cm³
! Energy of formation from the pure elements   -0.6599 eV/atom
! Electronic total energy   -8.08 eV/atom
! Space group   Immm, No. 71
&SYSTEM
  ibrav = 0, nat = 12, ntyp = 3
/
ATOMIC_SPECIES
Ru 101.07 Ru.upf
Sc 44.96 Sc.upf
As 74.92 As.upf
ATOMIC_POSITIONS crystal
Ru 0.6674 0.6674 0.3348
Ru 0.0000 0.5000 0.0000
Ru 0.3360 0.8360 0.6720
Ru 0.6640 0.1640 0.3280
Ru 0.3326 0.3326 0.6652
Sc 0.1703 0.9135 0.3407
Sc 0.5000 0.2642 0.0000
Sc 0.5000 0.7358 0.0000
Sc 0.8297 0.5728 0.6593
Sc 0.1703 0.4272 0.3407
Sc 0.8297 0.0865 0.6593
As 0.0000 0.0000 0.0000
CELL_PARAMETERS angstrom
-3.1670 -2.5408 -1.9918
1.0920 -4.7852 4.3677
-3.6881 6.3335 2.9193

Entry 2:
! Th3FeAg (PBE-GGA, relaxed); values from VASP
! Theoretical density   10.17 g/cm³
! Energy of formation from the pure elements   0.0407 eV/atom
! Electronic total energy   -6.67 eV/atom
! Space group   Pm-3m, No. 221
! Relative energy among the computed polymorphs   79 meV/atom
&SYSTEM
  ibrav = 0, nat = 5, ntyp = 3
/
ATOMIC_SPECIES
Ag 107.87 Ag.upf
Th 232.04 Th.upf
Fe 55.84 Fe.upf
ATOMIC_POSITIONS crystal
Ag 0.5000 0.5000 0.5000
Th 0.0000 0.0000 0.5000
Th 0.0000 0.5000 0.0000
Th 0.5000 0.0000 0.0000
Fe 0.0000 0.0000 0.0000
CELL_PARAMETERS angstrom
5.1966 0.0000 0.0000
0.0000 5.1966 0.0000
0.0000 0.0000 5.1966

Table of volume (Å³/atom), in record order: 16.9, 28.1
Table of total magnetic moment (μB/cell), in record order: 0.0, 0.0